#one
Material: LaTa2Cr
Method: DFT, GGA-PBE
State: optimized geometry

abc: 5.217 5.217 5.619
angles: 74.81 74.81 36.74
Positions (direct):
La 0.237 0.237 0.257
Ta 0.769 0.769 0.737
Ta 0.024 0.024 0.902
Cr 0.470 0.470 0.604

Properties
**Size of the total moment**: 0.0 μB per formula unit

#two
Material: LaTa2Cr
Method: DFT, GGA-PBE
State: optimized geometry

abc: 4.780 4.780 4.780
angles: 60.00 60.00 60.00
Last column: magnetic moment on the atom in μB.
Positions (direct):
Ta 0.750 0.750 0.750  -0.21
Ta 0.000 0.000 0.000  0.04
La 0.250 0.250 0.250  0.02
Cr 0.500 0.500 0.500  1.93

Properties
**Size of the total moment**: 1.9 μB per formula unit

So which one wins? Going from most stable to least: #one, #two.

#one
Material: LaTa2Cr
Method: DFT, GGA-PBE
State: optimized geometry

abc: 5.642 5.642 5.106
angles: 75.85 75.85 31.19
Last column: magnetic moment on the atom in μB.
Positions (direct):
Cr 0.750 0.750 0.750  2.20
La 0.250 0.250 0.250  -0.07
Ta 0.029 0.029 0.959  -0.09
Ta 0.471 0.471 0.541  -0.09

Properties
**Size of the total moment**: 2.0 μB per formula unit

#two
Material: LaTa2Cr
Method: DFT, GGA-PBE
State: optimized geometry

abc: 4.724 4.724 4.724
angles: 60.00 60.00 60.00
Positions (direct):
Cr 0.000 0.000 0.000
Ta 0.750 0.750 0.750
Ta 0.250 0.250 0.250
La 0.500 0.500 0.500

Properties
**Size of the total moment**: 0.0 μB per formula unit

#three
Material: LaTa2Cr
Method: DFT, GGA-PBE
State: optimized geometry

abc: 5.577 5.577 5.577
angles: 146.06 126.34 65.02
Positions (direct):
Ta 0.003 0.003 0.000
Ta 0.715 0.215 0.500
La 0.270 0.770 0.500
Cr 0.512 0.512 0.000

Properties
**Size of the total moment**: 0.0 μB per formula unit

#four
Material: LaTa2Cr
Method: DFT, GGA-PBE
State: optimized geometry

abc: 5.708 5.446 2.996
angles: 79.13 80.07 115.31
Last column: magnetic moment on the atom in μB.
Positions (direct):
Ta 0.000 0.000 0.000  -0.16
Ta 0.000 0.500 0.500  -0.16
La 0.500 0.000 0.500  -0.03
Cr 0.500 0.500 0.000  2.52

Properties
**Size of the total moment**: 2.2 μB per formula unit

So which one wins? Going from most stable to least: #one, #three, #two, #four.